{"formula": "Pm5Sm2Y5", "functional": "GGA-PBE", "state": "optimized geometry", "volume_a3_per_atom": 33.36, "formation_energy_mev_per_atom": 15, "space_group": "C2/m, No. 12", "dos_at_fermi_per_ev_cell": 17.955, "lattice": [[-2.543, 1.475, -4.177], [0.321, -8.742, -6.406], [-7.902, -0.038, 1.675]], "species": ["Pm", "Pm", "Pm", "Pm", "Pm", "Sm", "Sm", "Y", "Y", "Y", "Y", "Y"], "frac_coords": [[0.667, 0.250, 0.416], [0.000, 0.250, 0.750], [0.000, 0.750, 0.250], [0.333, 0.750, 0.584], [0.000, 0.000, 0.000], [0.333, 0.500, 0.833], [0.667, 0.500, 0.167], [0.000, 0.500, 0.500], [0.667, 0.750, 0.917], [0.334, 0.000, 0.333], [0.666, 0.000, 0.667], [0.333, 0.250, 0.083]]}

=====

{"formula": "CrIn2Pd2", "functional": "GGA-PBE", "state": "optimized geometry", "volume_a3_per_atom": 17.85, "formation_energy_mev_per_atom": 154, "space_group": "P4/mbm, No. 127", "dos_at_fermi_per_ev_cell": 12.307, "lattice": [[7.574, 0.000, 0.000], [0.000, 7.574, 0.000], [0.000, 0.000, 3.112]], "species": ["Cr", "Cr", "Pd", "Pd", "Pd", "Pd", "In", "In", "In", "In"], "frac_coords": [[0.000, 0.000, 0.000], [0.500, 0.500, 0.000], [0.367, 0.867, 0.000], [0.867, 0.633, 0.000], [0.633, 0.133, 0.000], [0.133, 0.367, 0.000], [0.166, 0.666, 0.500], [0.666, 0.834, 0.500], [0.834, 0.334, 0.500], [0.334, 0.166, 0.500]]}

=====

{"formula": "KRb2TlAg", "functional": "GGA-PBE", "state": "optimized geometry", "volume_a3_per_atom": 56.75, "formation_energy_mev_per_atom": 128, "space_group": "P4/mmm, No. 123", "de_polymorph_mev_per_atom": 60.5, "dos_at_fermi_per_ev_cell": 3.301, "lattice": [[-2.672, 3.829, -5.485], [-4.218, -5.549, -1.819], [-3.941, 1.927, 3.265]], "species": ["K", "Tl", "Rb", "Rb", "Ag"], "frac_coords": [[0.500, 0.500, 0.500], [0.000, 0.000, 0.000], [0.000, 0.500, 0.000], [0.500, 0.000, 0.000], [0.000, 0.000, 0.500]]}

=====

{"formula": "BaFeCo4", "functional": "GGA-PBE", "state": "optimized geometry", "volume_a3_per_atom": 15.57, "formation_energy_mev_per_atom": 598, "space_group": "F-43m, No. 216", "dos_at_fermi_per_ev_cell": 10.625, "lattice": [[1.815, -2.408, 4.105], [3.156, 2.418, 3.183], [-1.599, 1.332, 4.649]], "species": ["Ba", "Fe", "Co", "Co", "Co", "Co"], "frac_coords": [[0.000, 0.000, 0.000], [0.750, 0.750, 0.750], [0.378, 0.867, 0.378], [0.867, 0.378, 0.378], [0.378, 0.378, 0.867], [0.378, 0.378, 0.378]]}

=====

{"formula": "Rb2CdPbO4", "functional": "GGA-PBE", "state": "optimized geometry", "volume_a3_per_atom": 21.21, "e_form_raw_ev_per_atom": -1.15, "space_group": "C2, No. 5", "lattice": [[6.385, 0.008, -0.004], [0.007, 6.386, -0.003], [-3.193, -3.195, 4.165]], "species": ["Rb", "Rb", "Cd", "Pb", "O", "O", "O", "O"], "frac_coords": [[0.487, 0.987, 0.973], [0.237, 0.237, 0.473], [0.986, 0.486, 0.972], [0.736, 0.736, 0.472], [0.704, 0.629, 0.728], [0.842, 0.447, 0.214], [0.372, 0.767, 0.214], [0.024, 0.099, 0.728]]}

=====

{"formula": "CeSnBiAu", "functional": "GGA-PBE", "state": "optimized geometry", "volume_a3_per_atom": 26.92, "formation_energy_mev_per_atom": -364, "space_group": "F-43m, No. 216", "dos_at_fermi_per_ev_cell": 6.334, "lattice": [[-0.307, 4.791, 2.339], [-2.339, 0.495, 4.775], [2.953, 1.055, 4.323]], "species": ["Au", "Bi", "Ce", "Sn"], "frac_coords": [[0.750, 0.750, 0.750], [0.250, 0.250, 0.250], [0.500, 0.500, 0.500], [0.000, 0.000, 0.000]]}

=====

{"formula": "LaPm14Ho", "functional": "GGA-PBE", "state": "optimized geometry", "volume_a3_per_atom": 34.40, "formation_energy_mev_per_atom": 14, "space_group": "Amm2, No. 38", "dos_at_fermi_per_ev_cell": 24.423, "lattice": [[7.240, 0.972, 0.000], [-0.971, 7.240, 0.000], [0.000, 0.000, 10.316]], "species": ["La", "Pm", "Pm", "Pm", "Pm", "Pm", "Pm", "Pm", "Pm", "Pm", "Pm", "Pm", "Pm", "Pm", "Pm", "Ho"], "frac_coords": [[0.875, 0.125, 0.000], [0.375, 0.625, 0.500], [0.875, 0.125, 0.500], [0.875, 0.625, 0.000], [0.875, 0.625, 0.500], [0.375, 0.125, 0.000], [0.375, 0.125, 0.500], [0.623, 0.873, 0.750], [0.623, 0.873, 0.250], [0.127, 0.377, 0.750], [0.127, 0.377, 0.250], [0.127, 0.873, 0.750], [0.127, 0.873, 0.250], [0.623, 0.377, 0.750], [0.623, 0.377, 0.250], [0.375, 0.625, 0.000]]}

=====

{"formula": "Cs3Tb2NpTe6", "functional": "GGA-PBE", "state": "optimized geometry", "volume_a3_per_atom": 40.85, "e_form_raw_ev_per_atom": -1.22, "space_group": "C2/m, No. 12", "dos_at_fermi_per_ev_cell": 4.512, "lattice": [[-3.038, 6.470, 3.541], [-4.854, -5.754, -2.639], [3.165, -4.308, 7.592]], "species": ["Cs", "Cs", "Cs", "Tb", "Tb", "Np", "Te", "Te", "Te", "Te", "Te", "Te"], "frac_coords": [[0.166, 0.834, 0.500], [0.834, 0.166, 0.500], [0.500, 0.500, 0.500], [0.333, 0.667, 0.000], [0.667, 0.333, 0.000], [0.000, 0.000, 0.000], [0.937, 0.599, 0.810], [0.726, 0.726, 0.190], [0.063, 0.401, 0.190], [0.599, 0.937, 0.810], [0.274, 0.274, 0.810], [0.401, 0.063, 0.190]]}

=====

Copy entry 8 word for word.
{"formula": "Cs3Tb2NpTe6", "functional": "GGA-PBE", "state": "optimized geometry", "volume_a3_per_atom": 40.85, "e_form_raw_ev_per_atom": -1.22, "space_group": "C2/m, No. 12", "dos_at_fermi_per_ev_cell": 4.512, "lattice": [[-3.038, 6.470, 3.541], [-4.854, -5.754, -2.639], [3.165, -4.308, 7.592]], "species": ["Cs", "Cs", "Cs", "Tb", "Tb", "Np", "Te", "Te", "Te", "Te", "Te", "Te"], "frac_coords": [[0.166, 0.834, 0.500], [0.834, 0.166, 0.500], [0.500, 0.500, 0.500], [0.333, 0.667, 0.000], [0.667, 0.333, 0.000], [0.000, 0.000, 0.000], [0.937, 0.599, 0.810], [0.726, 0.726, 0.190], [0.063, 0.401, 0.190], [0.599, 0.937, 0.810], [0.274, 0.274, 0.810], [0.401, 0.063, 0.190]]}

=====

Copy entry 2 word for word.
{"formula": "CrIn2Pd2", "functional": "GGA-PBE", "state": "optimized geometry", "volume_a3_per_atom": 17.85, "formation_energy_mev_per_atom": 154, "space_group": "P4/mbm, No. 127", "dos_at_fermi_per_ev_cell": 12.307, "lattice": [[7.574, 0.000, 0.000], [0.000, 7.574, 0.000], [0.000, 0.000, 3.112]], "species": ["Cr", "Cr", "Pd", "Pd", "Pd", "Pd", "In", "In", "In", "In"], "frac_coords": [[0.000, 0.000, 0.000], [0.500, 0.500, 0.000], [0.367, 0.867, 0.000], [0.867, 0.633, 0.000], [0.633, 0.133, 0.000], [0.133, 0.367, 0.000], [0.166, 0.666, 0.500], [0.666, 0.834, 0.500], [0.834, 0.334, 0.500], [0.334, 0.166, 0.500]]}